The following is a DFT calculation (GGA-PBEsol) of a geometry-optimized Mo2RuCl structure.

Unit cell a=4.3321 b=4.3321 c=4.3321 alpha=60.00 beta=60.00 gamma=60.00
Positions (direct):
Mo1 0.2500 0.2500 0.2500
Mo2 0.7500 0.7500 0.7500
Ru1 0.0000 0.0000 0.0000
Cl1 0.5000 0.5000 0.5000

Values from the calculation:
raw formation energy = 2.69 eV per formula unit
energy above the lowest structure with this stoichiometry = 4.16 kcal/mol of atoms
DOS at the Fermi energy = 1.08 states/eV/atom
SG = Fm-3m


The following is a DFT calculation (GGA-PBEsol) of a geometry-optimized Ca2BiAs2 structure.

Unit cell a=7.9237 b=7.9237 c=3.9851 alpha=90.00 beta=90.00 gamma=90.00
Positions (direct):
Ca1 0.1486 0.3514 0.0000
Ca2 0.3514 0.8514 0.0000
Ca3 0.6486 0.1486 0.0000
Ca4 0.8514 0.6486 0.0000
Bi1 0.0000 0.0000 0.5000
Bi2 0.5000 0.5000 0.5000
As1 0.1561 0.6561 0.5000
As2 0.3439 0.1561 0.5000
As3 0.6561 0.8439 0.5000
As4 0.8439 0.3439 0.5000

Values from the calculation:
energy above the lowest structure with this stoichiometry = 0.00 kcal/mol of atoms
DOS at the Fermi energy = 0.63 states/eV/atom
SG = P4/mbm


The following is a DFT calculation (GGA-PBEsol) of a geometry-optimized La2TaFe structure.

Unit cell a=5.5345 b=5.5345 c=5.5345 alpha=133.28 beta=133.28 gamma=68.22
Positions (direct):
La1 0.0000 0.0000 0.0000
La2 0.7500 0.2500 0.5000
Ta1 0.5000 0.5000 0.0000
Fe1 0.2500 0.7500 0.5000

Values from the calculation:
energy above the lowest structure with this stoichiometry = 1.49 kcal/mol of atoms
DOS at the Fermi energy = 1.44 states/eV/atom
SG = I-4m2


The following is a DFT calculation (GGA-PBEsol) of a geometry-optimized TcNi2P structure.

Unit cell a=4.4437 b=4.4437 c=2.5977 alpha=90.00 beta=90.00 gamma=114.81
Positions (direct):
Tc1 0.0000 0.0000 0.0000
Ni1 0.0000 0.5000 0.5000
Ni2 0.5000 0.0000 0.5000
P1 0.5000 0.5000 0.0000

Values from the calculation:
electronic total energy = -7.4368 eV per atom
DOS at the Fermi energy = 0.79 states/eV/atom
SG = Cmmm


The following is a DFT calculation (GGA-PBEsol) of a geometry-optimized TmIn7Cu5 structure.

Unit cell a=7.0937 b=7.0937 c=7.0937 alpha=134.44 beta=98.37 gamma=98.87
Positions (direct):
Tm1 0.0000 0.0000 0.0000
In1 0.1748 0.4869 0.6879
In2 0.2332 0.7332 0.5000
In3 0.3458 0.3458 0.0000
In4 0.3493 0.0136 0.3357
In5 0.6648 0.6648 0.0000
In6 0.6779 0.0136 0.6643
In7 0.7990 0.4869 0.3121
Cu1 0.5065 0.5084 0.5132
Cu2 0.5065 0.9934 0.9981
Cu3 0.7619 0.2619 0.5000
Cu4 0.9952 0.5084 0.0019
Cu5 0.9952 0.9934 0.4868

Values from the calculation:
electronic total energy = -3.7486 eV per atom
DOS at the Fermi energy = 0.27 states/eV/atom
SG = Imm2


The following is a DFT calculation (GGA-PBEsol) of a geometry-optimized LiFeSi4O10 structure.

Unit cell a=7.3531 b=7.3531 c=14.7234 alpha=90.00 beta=90.00 gamma=90.00
Positions (direct):
Li1 0.2500 0.2500 0.0575
Li2 0.2500 0.2500 0.5575
Li3 0.7500 0.7500 0.4425
Li4 0.7500 0.7500 0.9425
Fe1 0.2500 0.7500 0.0000
Fe2 0.2500 0.7500 0.5000
Fe3 0.7500 0.2500 0.0000
Fe4 0.7500 0.2500 0.5000
Si1 0.0188 0.6093 0.1456
Si2 0.0188 0.8907 0.6456
Si3 0.1093 0.5188 0.3544
Si4 0.1093 0.9812 0.8544
Si5 0.3907 0.5188 0.8544
Si6 0.3907 0.9812 0.3544
Si7 0.4812 0.6093 0.6456
Si8 0.4812 0.8907 0.1456
Si9 0.5188 0.1093 0.8544
Si10 0.5188 0.3907 0.3544
Si11 0.6093 0.0188 0.6456
Si12 0.6093 0.4812 0.1456
Si13 0.8907 0.0188 0.1456
Si14 0.8907 0.4812 0.6456
Si15 0.9812 0.1093 0.3544
Si16 0.9812 0.3907 0.8544
O1 0.0095 0.1742 0.8710
O2 0.0095 0.3258 0.3710
O3 0.0453 0.6690 0.4285
O4 0.0453 0.8310 0.9285
O5 0.0798 0.5798 0.2500
O6 0.0798 0.9202 0.7500
O7 0.1690 0.5453 0.0715
O8 0.1690 0.9547 0.5715
O9 0.1742 0.0095 0.3710
O10 0.1742 0.4905 0.8710
O11 0.3258 0.0095 0.8710
O12 0.3258 0.4905 0.3710
O13 0.3310 0.5453 0.5715
O14 0.3310 0.9547 0.0715
O15 0.4202 0.5798 0.7500
O16 0.4202 0.9202 0.2500
O17 0.4547 0.6690 0.9285
O18 0.4547 0.8310 0.4285
O19 0.4905 0.1742 0.3710
O20 0.4905 0.3258 0.8710
O21 0.5095 0.6742 0.1290
O22 0.5095 0.8258 0.6290
O23 0.5453 0.1690 0.5715
O24 0.5453 0.3310 0.0715
O25 0.5798 0.0798 0.7500
O26 0.5798 0.4202 0.2500
O27 0.6690 0.0453 0.9285
O28 0.6690 0.4547 0.4285
O29 0.6742 0.5095 0.6290
O30 0.6742 0.9905 0.1290
O31 0.8258 0.5095 0.1290
O32 0.8258 0.9905 0.6290
O33 0.8310 0.0453 0.4285
O34 0.8310 0.4547 0.9285
O35 0.9202 0.0798 0.2500
O36 0.9202 0.4202 0.7500
O37 0.9547 0.1690 0.0715
O38 0.9547 0.3310 0.5715
O39 0.9905 0.6742 0.6290
O40 0.9905 0.8258 0.1290

Values from the calculation:
raw formation energy = -38.72 eV per formula unit
energy above the lowest structure with this stoichiometry = 1.59 kcal/mol of atoms
SG = P4/ncc


Repeat the fifth record exactly.
The following is a DFT calculation (GGA-PBEsol) of a geometry-optimized TmIn7Cu5 structure.

Unit cell a=7.0937 b=7.0937 c=7.0937 alpha=134.44 beta=98.37 gamma=98.87
Positions (direct):
Tm1 0.0000 0.0000 0.0000
In1 0.1748 0.4869 0.6879
In2 0.2332 0.7332 0.5000
In3 0.3458 0.3458 0.0000
In4 0.3493 0.0136 0.3357
In5 0.6648 0.6648 0.0000
In6 0.6779 0.0136 0.6643
In7 0.7990 0.4869 0.3121
Cu1 0.5065 0.5084 0.5132
Cu2 0.5065 0.9934 0.9981
Cu3 0.7619 0.2619 0.5000
Cu4 0.9952 0.5084 0.0019
Cu5 0.9952 0.9934 0.4868

Values from the calculation:
electronic total energy = -3.7486 eV per atom
DOS at the Fermi energy = 0.27 states/eV/atom
SG = Imm2